Entry 1:
Crystalline Al2FeAs at its relaxed geometry. Source: OQMD, functional GGA-PBE.

Output
Total moment (μB per formula unit): 0.0
E_tot (eV for the cell shown): -78.662

abc: 6.1176 6.1176 6.1176
angles: 90.00 90.00 90.00
Last column: nearest neighbours and their distance in Å.
Space group F-43m (No. 216)
Unique sites:
Al 0.0000 0.0000 0.0000  4 Fe 2.65, 4 Al 2.65
Al 0.2500 0.2500 0.2500  4 As 2.65, 4 Al 2.65
Fe 0.2500 0.2500 0.7500  4 As 2.65, 4 Al 2.65
As 0.0000 0.0000 0.5000  4 Fe 2.65, 4 Al 2.65

Entry 2:
Crystalline AlFe6As at its relaxed geometry. Source: OQMD, functional GGA-PBE.

Output
Total moment (μB per formula unit): 12.1
E_tot (eV for the cell shown): -220.132

abc: 7.8202 7.8202 7.8202
angles: 90.00 90.00 90.00
Last column: nearest neighbours and their distance in Å.
Space group F-43m (No. 216)
Unique sites:
Al 0.0000 0.0000 0.0000  12 Fe 2.78
Fe 0.0373 0.2500 0.7500  1 As 2.25, 4 Fe 2.35
As 0.2500 0.2500 0.2500  6 Fe 2.25

Entry 3:
Crystalline MgAlFeAs at its relaxed geometry. Source: OQMD, functional GGA-PBE.

Output
Total moment (μB per formula unit): 0.0
E_tot (eV for the cell shown): -71.017
Energy above the lowest structure with this stoichiometry (eV/atom): 0.000

abc: 6.1798 6.1798 6.1798
angles: 90.00 90.00 90.00
Last column: nearest neighbours and their distance in Å.
Space group F-43m (No. 216)
Unique sites:
Mg 0.0000 0.0000 0.0000  4 As 2.68, 4 Al 2.68
Al 0.2500 0.2500 0.2500  4 Fe 2.68, 4 Mg 2.68
Fe 0.0000 0.0000 0.5000  4 As 2.68, 4 Al 2.68
As 0.2500 0.2500 0.7500  4 Fe 2.68, 4 Mg 2.68

Entry 4:
Crystalline MgAlFeAs at its relaxed geometry. Source: OQMD, functional GGA-PBE.

Output
Total moment (μB per formula unit): 2.0
E_tot (eV for the cell shown): -70.143
Energy above the lowest structure with this stoichiometry (eV/atom): 0.055

abc: 6.3744 6.3744 6.3744
angles: 90.00 90.00 90.00
Last column: nearest neighbours and their distance in Å.
Space group F-43m (No. 216)
Unique sites:
Mg 0.0000 0.0000 0.0000  4 Fe 2.76, 4 As 2.76
Al 0.0000 0.0000 0.5000  4 As 2.76, 4 Fe 2.76
Fe 0.2500 0.2500 0.2500  4 Mg 2.76, 4 Al 2.76
As 0.2500 0.2500 0.7500  4 Mg 2.76, 4 Al 2.76

Repeat the third record exactly.
Crystalline MgAlFeAs at its relaxed geometry. Source: OQMD, functional GGA-PBE.

Output
Total moment (μB per formula unit): 0.0
E_tot (eV for the cell shown): -71.017
Energy above the lowest structure with this stoichiometry (eV/atom): 0.000

abc: 6.1798 6.1798 6.1798
angles: 90.00 90.00 90.00
Last column: nearest neighbours and their distance in Å.
Space group F-43m (No. 216)
Unique sites:
Mg 0.0000 0.0000 0.0000  4 As 2.68, 4 Al 2.68
Al 0.2500 0.2500 0.2500  4 Fe 2.68, 4 Mg 2.68
Fe 0.0000 0.0000 0.5000  4 As 2.68, 4 Al 2.68
As 0.2500 0.2500 0.7500  4 Fe 2.68, 4 Mg 2.68